! CeHoTc (PBE, relaxed); values from VASP
! Symmetry: I4mm, No. 107
! Energy relative to the elements, eV/atom: -0.066
&SYSTEM
  ibrav = 0, nat = 3, ntyp = 3
/
ATOMIC_SPECIES
Tc 98.00 Tc.upf
Ce 140.12 Ce.upf
Ho 164.93 Ho.upf
CELL_PARAMETERS angstrom
-3.119 -1.019 0.908
1.355 -2.582 1.756
1.189 5.510 3.885
ATOMIC_POSITIONS crystal
Tc 0.672 0.672 0.344
Ce 0.295 0.295 0.589
Ho 0.033 0.033 0.067

***

! SiTePd3 (PBE, relaxed); values from VASP
! Uncorrected formation energy, kJ/mol of formula units: 285
! Symmetry: Pm-3m, No. 221
&SYSTEM
  ibrav = 0, nat = 5, ntyp = 3
/
ATOMIC_SPECIES
Si 28.09 Si.upf
Pd 106.42 Pd.upf
Te 127.60 Te.upf
CELL_PARAMETERS angstrom
4.943 0.000 0.000
0.000 4.943 0.000
0.000 0.000 4.943
ATOMIC_POSITIONS crystal
Si 0.500 0.500 0.500
Pd 0.000 0.000 0.500
Pd 0.000 0.500 0.000
Te 0.000 0.000 0.000
Pd 0.500 0.000 0.000

***

! LaSmHo2Se4 (PBE, relaxed); values from VASP
! Uncorrected formation energy, kJ/mol of formula units: -1403
! Symmetry: P2/m, No. 10
&SYSTEM
  ibrav = 0, nat = 8, ntyp = 4
/
ATOMIC_SPECIES
Ho 164.93 Ho.upf
Se 78.96 Se.upf
Sm 150.36 Sm.upf
La 138.91 La.upf
CELL_PARAMETERS angstrom
4.080 0.000 0.000
0.000 7.343 -0.239
0.000 2.492 6.665
ATOMIC_POSITIONS crystal
Ho 0.500 0.000 0.500
Se 0.500 0.235 0.751
Ho 0.000 0.000 0.000
Se 0.500 0.765 0.249
Sm 0.000 0.500 0.500
Se 0.000 0.768 0.740
La 0.500 0.500 0.000
Se 0.000 0.232 0.260

***

! Rb4SO (PBE, relaxed); values from VASP
! Uncorrected formation energy, kJ/mol of formula units: -502
! Symmetry: I-4m2, No. 119
&SYSTEM
  ibrav = 0, nat = 6, ntyp = 3
/
ATOMIC_SPECIES
S 32.06 S.upf
Rb 85.47 Rb.upf
O 16.00 O.upf
CELL_PARAMETERS angstrom
-3.700 -4.681 0.338
0.986 -1.197 -5.771
7.201 -1.541 4.644
ATOMIC_POSITIONS crystal
S 0.000 0.000 0.000
Rb 0.216 0.216 0.432
O 0.750 0.250 0.500
Rb 0.928 0.428 0.857
Rb 0.572 0.072 0.143
Rb 0.784 0.784 0.568